# AsICl3, relaxed, DFT PBE
data_AsICl3
_chemical_formula_sum 'As2 I2 Cl6'
_symmetry_space_group_name_H-M 'P 1'
_symmetry_Int_Tables_number 1
_symmetry_space_group_name_Hall 'P 1'
_cell_length_a 6.018
_cell_length_b 7.700
_cell_length_c 8.111
_cell_angle_alpha 88.06
_cell_angle_beta 82.72
_cell_angle_gamma 89.68
loop_
_atom_site_label
_atom_site_type_symbol
_atom_site_fract_x
_atom_site_fract_y
_atom_site_fract_z
As1 As 0.000 0.000 0.000
As2 As 0.500 0.088 0.498
I1 I 0.036 0.772 0.702
I2 I 0.533 0.316 0.186
Cl1 Cl 0.040 0.289 0.156
Cl2 Cl 0.299 0.252 0.682
Cl3 Cl 0.319 0.902 0.062
Cl4 Cl 0.543 0.798 0.672
Cl5 Cl 0.798 0.836 0.194
Cl6 Cl 0.819 0.186 0.553
# Polymorph energy (0 for the lowest one)   0.000 eV per atom
# Uncorrected energy   -2.738 eV per atom